VASP calculation (PBE+U) on a geometry-optimized K2GeMoO6 structure.

The calculation puts the total energy at -239.683 eV for the cell shown. The calculation puts the calculated volume at 11.88 A^3/atom.

It has space group Fm-3m (No. 225), with a = 7.804 Å, b = 7.804 Å, c = 7.804 Å, α = 90.00°, β = 90.00° and γ = 90.00°. The asymmetric unit holds K at (0.250, 0.250, 0.250), Ge at (0.000, 0.000, 0.000), Mo at (0.000, 0.000, 0.500) and O at (0.000, 0.000, 0.249).

---

VASP calculation (PBE+U) on a geometry-optimized K2GeMoO structure.

The calculation puts the total energy at -18.188 eV for the cell shown. The calculation puts the calculated volume at 36.33 A^3/atom.

It has space group P4/mmm (No. 123), with a = 6.820 Å, b = 6.820 Å, c = 3.905 Å, α = 90.00°, β = 90.00° and γ = 90.00°. The asymmetric unit holds K at (0.000, 0.500, 0.000), Ge at (0.000, 0.000, 0.500), Mo at (0.500, 0.500, 0.000) and O at (0.500, 0.500, 0.500).

---

VASP calculation (PBE+U) on a geometry-optimized KGeMoO6 structure.

The calculation puts the total energy at -110.918 eV for the cell shown. The calculation puts the calculated volume at 15.77 A^3/atom.

It has space group C2 (No. 5), with a = 5.271 Å, b = 9.216 Å, c = 5.844 Å, α = 90.00°, β = 90.97° and γ = 90.00°. The asymmetric unit holds K at (0.000, 0.000, 0.000), Ge at (0.000, 0.682, 0.500), Mo at (0.000, 0.323, 0.500), O at (0.091, 0.507, 0.336), O at (0.192, 0.802, 0.313) and O at (0.193, 0.204, 0.308).

---

Ordered magnetization results: 0.00; 1.04; 0.12; unit μB per atom.